No. 1
The following is a PBE calculation of a geometry-optimized Rb2Ba2Ca structure, from Alexandria via LeMat-Bulk.

a b c (Å): 10.2742 10.2742 6.4487
angles (deg): 90.00 90.00 90.00
Last column: nearest neighbours and their distance in Å.
Atoms (fractional coordinates):
Ca 0.0000 0.0000 0.0000  4 Rb 4.03
Ca 0.5000 0.5000 0.0000  4 Rb 4.03
Ba 0.1794 0.6794 0.5000  6 Rb 4.25-4.56
Ba 0.6794 0.8206 0.5000  6 Rb 4.25-4.56
Ba 0.8206 0.3206 0.5000  6 Rb 4.25-4.56
Ba 0.3206 0.1794 0.5000  6 Rb 4.25-4.56
Rb 0.3695 0.8695 0.0000  1 Rb 3.79, 2 Ca 4.03
Rb 0.8695 0.6305 0.0000  1 Rb 3.79, 2 Ca 4.03
Rb 0.6305 0.1305 0.0000  1 Rb 3.79, 2 Ca 4.03
Rb 0.1305 0.3695 0.0000  1 Rb 3.79, 2 Ca 4.03

Results
E_form: 0.309 eV/atom
DFT total energy: -1.25 eV per atom

---

No. 2
The following is a PBE calculation of a geometry-optimized K2In2Rh structure, from Alexandria via LeMat-Bulk.

a b c (Å): 7.1623 7.1623 6.1176
angles (deg): 90.00 90.00 90.00
Last column: nearest neighbours and their distance in Å.
Atoms (fractional coordinates):
K 0.1771 0.6771 0.5000  2 In 3.42, 5 K 3.59-3.73
K 0.6771 0.8229 0.5000  2 In 3.42, 5 K 3.59-3.73
K 0.8229 0.3229 0.5000  2 In 3.42, 5 K 3.59-3.73
K 0.3229 0.1771 0.5000  2 In 3.42, 5 K 3.59-3.73
Rh 0.0000 0.0000 0.0000  4 In 2.65
Rh 0.5000 0.5000 0.0000  4 In 2.65
In 0.3287 0.8287 0.0000  2 Rh 2.65
In 0.8287 0.6713 0.0000  2 Rh 2.65
In 0.6713 0.1713 0.0000  2 Rh 2.65
In 0.1713 0.3287 0.0000  2 Rh 2.65

Results
E_form: 0.004 eV/atom
DFT total energy: -3.00 eV per atom

---

No. 3
The following is a PBE calculation of a geometry-optimized HfIn2F structure, from Alexandria via LeMat-Bulk.

a b c (Å): 7.0385 7.0385 6.1013
angles (deg): 54.77 54.77 90.00
Last column: nearest neighbours and their distance in Å.
Atoms (fractional coordinates):
F 0.5000 0.5000 0.0000  4 In 2.38
F 0.2500 0.7500 0.5000  4 In 2.38
Hf 0.0000 0.0000 0.0000  4 In 2.94
Hf 0.7500 0.2500 0.5000  4 In 2.94
In 0.5640 0.1250 0.2500  2 F 2.38
In 0.1860 0.6250 0.2500  2 F 2.38
In 0.3750 0.4360 0.7500  2 F 2.38
In 0.8750 0.8140 0.7500  2 F 2.38

Results
formation energy without anion corrections: -0.370 eV/atom
DFT total energy: -4.70 eV per atom

---

No. 4
The following is a PBE calculation of a geometry-optimized Na3ScAs structure, from Alexandria via LeMat-Bulk.

a b c (Å): 5.7982 5.7982 5.7982
angles (deg): 90.00 90.00 90.00
Last column: nearest neighbours and their distance in Å.
Atoms (fractional coordinates):
Sc 0.0000 0.0000 0.0000  6 Na 2.90
Na 0.0000 0.5000 0.0000  2 Sc 2.90
Na 0.0000 0.0000 0.5000  2 Sc 2.90
Na 0.5000 0.0000 0.0000  2 Sc 2.90
As 0.5000 0.5000 0.5000  12 Na 4.10

Results
E_form: 1.075 eV/atom
DFT total energy: -1.91 eV per atom